La2CdSi3Pt4: optimized geometry, GGA-PBE.

Properties
The raw formation energy comes out at -980.2 meV per atom. The calculation puts the theoretical density at 10683 kg/m³.

a = 4.3425 Å, b = 4.3425 Å, c = 10.3436 Å
α = 90.00°, β = 90.00°, γ = 90.00°
Last column: nearest neighbours and their distance in Å.
Fractional positions:
1 La 0.0000 0.5000 0.2470  8 Pt 3.25-3.35, 6 Si 3.34-3.40, 2 Cd 3.40
2 La 0.5000 0.0000 0.7530  8 Pt 3.25-3.35, 6 Si 3.34-3.40, 2 Cd 3.40
3 Cd 0.0000 0.0000 0.5000  4 Pt 2.67
4 Si 0.0000 0.5000 0.8799  5 Pt 2.38-2.50
5 Si 0.5000 0.0000 0.1201  5 Pt 2.38-2.50
6 Si 0.5000 0.5000 0.5000  4 Pt 2.67
7 Pt 0.0000 0.0000 0.0000  4 Si 2.50
8 Pt 0.0000 0.5000 0.6503  1 Si 2.38
9 Pt 0.5000 0.0000 0.3497  1 Si 2.38
10 Pt 0.5000 0.5000 0.0000  4 Si 2.50



La2CdSi4Pt3: optimized geometry, GGA-PBE.

Properties
The raw formation energy comes out at -957.4 meV per atom. The calculation puts the theoretical density at 9444 kg/m³.

a = 4.3274 Å, b = 4.3274 Å, c = 10.2142 Å
α = 90.00°, β = 90.00°, γ = 90.00°
Last column: nearest neighbours and their distance in Å.
Fractional positions:
1 La 0.0000 0.5000 0.2417  8 Si 3.26-3.28, 7 Pt 3.33-3.63, 2 Cd 3.41
2 La 0.5000 0.0000 0.7583  8 Si 3.26-3.28, 7 Pt 3.33-3.63, 2 Cd 3.41
3 Cd 0.0000 0.0000 0.5000  4 Si 2.64
4 Si 0.0000 0.0000 0.0000  4 Pt 2.46
5 Si 0.0000 0.5000 0.6473  3 Pt 2.44-2.64, 2 Cd 2.64
6 Si 0.5000 0.0000 0.3527  3 Pt 2.44-2.64, 2 Cd 2.64
7 Si 0.5000 0.5000 0.0000  4 Pt 2.46
8 Pt 0.0000 0.5000 0.8860  5 Si 2.44-2.46
9 Pt 0.5000 0.0000 0.1140  5 Si 2.44-2.46
10 Pt 0.5000 0.5000 0.5000  4 Si 2.64



La2Cd2SiPt4: optimized geometry, GGA-PBE.

Properties
The raw formation energy comes out at -739.2 meV per atom. The calculation puts the theoretical density at 11292 kg/m³.

a = 6.3524 Å, b = 6.3524 Å, c = 6.3524 Å
α = 114.78°, β = 114.78°, γ = 99.31°
Last column: nearest neighbours and their distance in Å.
Fractional positions:
1 La 0.2500 0.7500 0.5000  8 Pt 3.18, 4 Cd 3.48
2 La 0.7500 0.2500 0.5000  8 Pt 3.18, 4 Cd 3.48
3 Cd 0.1757 0.1757 0.0000  1 Si 2.67, 4 Pt 2.86, 1 Cd 2.89
4 Cd 0.8243 0.8243 0.0000  1 Si 2.67, 4 Pt 2.86, 1 Cd 2.89
5 Si 0.5000 0.5000 0.0000  4 Pt 2.37
6 Pt 0.2554 0.2554 0.5109  1 Si 2.37
7 Pt 0.2554 0.7446 0.0000  1 Si 2.37
8 Pt 0.7446 0.2554 0.0000  1 Si 2.37
9 Pt 0.7446 0.7446 0.4891  1 Si 2.37



La2CdSnPt6: optimized geometry, GGA-PBE.

Properties
As for the formation energy: -0.10 eV/atom. The calculation puts the theoretical density at 11259 kg/m³.

a = 7.0492 Å, b = 7.0492 Å, c = 7.0492 Å
α = 60.00°, β = 60.00°, γ = 60.00°
Last column: nearest neighbours and their distance in Å.
Fractional positions:
1 La 0.2500 0.2500 0.2500  12 Pt 3.52
2 La 0.7500 0.7500 0.7500  12 Pt 3.52
3 Cd 0.0000 0.0000 0.0000  6 Pt 2.51
4 Sn 0.5000 0.5000 0.5000  6 Pt 2.48
5 Pt 0.2515 0.2515 0.7485  1 Sn 2.48, 1 Cd 2.51
6 Pt 0.2515 0.7485 0.2515  1 Sn 2.48, 1 Cd 2.51
7 Pt 0.2515 0.7485 0.7485  1 Sn 2.48, 1 Cd 2.51
8 Pt 0.7485 0.2515 0.2515  1 Sn 2.48, 1 Cd 2.51
9 Pt 0.7485 0.2515 0.7485  1 Sn 2.48, 1 Cd 2.51
10 Pt 0.7485 0.7485 0.2515  1 Sn 2.48, 1 Cd 2.51



La2CdSn3Pt4: optimized geometry, GGA-PBE.

Properties
As for the formation energy: -0.84 eV/atom. The calculation puts the theoretical density at 10982 kg/m³.

a = 4.6126 Å, b = 4.6126 Å, c = 10.8500 Å
α = 90.00°, β = 90.00°, γ = 90.00°
Last column: nearest neighbours and their distance in Å.
Fractional positions:
1 La 0.0000 0.5000 0.2450  6 Sn 3.51-3.60, 8 Pt 3.51-3.52, 2 Cd 3.60
2 La 0.5000 0.0000 0.7550  6 Sn 3.51-3.60, 8 Pt 3.51-3.52, 2 Cd 3.60
3 Cd 0.0000 0.0000 0.5000  4 Pt 2.74
4 Sn 0.0000 0.5000 0.8742  5 Pt 2.59-2.68
5 Sn 0.5000 0.0000 0.1258  5 Pt 2.59-2.68
6 Sn 0.5000 0.5000 0.5000  4 Pt 2.74
7 Pt 0.0000 0.0000 0.0000  4 Sn 2.68
8 Pt 0.0000 0.5000 0.6355  3 Sn 2.59-2.74, 2 Cd 2.74
9 Pt 0.5000 0.0000 0.3645  3 Sn 2.59-2.74, 2 Cd 2.74
10 Pt 0.5000 0.5000 0.0000  4 Sn 2.68



SrLaCdPt: optimized geometry, GGA-PBE.

Properties
As for the formation energy: -0.58 eV/atom. The calculation puts the theoretical density at 8091 kg/m³.

a = 7.5965 Å, b = 7.5965 Å, c = 7.5965 Å
α = 90.00°, β = 90.00°, γ = 90.00°
Last column: nearest neighbours and their distance in Å.
Fractional positions:
1 Sr 0.0000 0.0000 0.0000  4 Cd 3.29, 4 Pt 3.29
2 Sr 0.0000 0.5000 0.5000  4 Cd 3.29, 4 Pt 3.29
3 Sr 0.5000 0.0000 0.5000  4 Cd 3.29, 4 Pt 3.29
4 Sr 0.5000 0.5000 0.0000  4 Cd 3.29, 4 Pt 3.29
5 La 0.0000 0.0000 0.5000  4 Cd 3.29, 4 Pt 3.29
6 La 0.0000 0.5000 0.0000  4 Cd 3.29, 4 Pt 3.29
7 La 0.5000 0.0000 0.0000  4 Cd 3.29, 4 Pt 3.29
8 La 0.5000 0.5000 0.5000  4 Cd 3.29, 4 Pt 3.29
9 Cd 0.2500 0.2500 0.7500  4 La 3.29, 4 Sr 3.29
10 Cd 0.2500 0.7500 0.2500  4 La 3.29, 4 Sr 3.29
11 Cd 0.7500 0.2500 0.2500  4 La 3.29, 4 Sr 3.29
12 Cd 0.7500 0.7500 0.7500  4 La 3.29, 4 Sr 3.29
13 Pt 0.2500 0.2500 0.2500  4 La 3.29, 4 Sr 3.29
14 Pt 0.2500 0.7500 0.7500  4 La 3.29, 4 Sr 3.29
15 Pt 0.7500 0.2500 0.7500  4 La 3.29, 4 Sr 3.29
16 Pt 0.7500 0.7500 0.2500  4 La 3.29, 4 Sr 3.29



LaTa2CdPt: optimized geometry, GGA-PBE.

Properties
As for the formation energy: 0.60 eV/atom. The calculation puts the theoretical density at 10373 kg/m³.

a = 5.0149 Å, b = 5.0149 Å, c = 5.1452 Å
α = 90.00°, β = 90.00°, γ = 90.00°
Last column: nearest neighbours and their distance in Å.
Fractional positions:
1 La 0.0000 0.0000 0.0000  4 Cd 3.55, 8 Ta 3.59
2 Ta 0.0000 0.5000 0.5000  2 Pt 2.51
3 Ta 0.5000 0.0000 0.5000  2 Pt 2.51
4 Cd 0.5000 0.5000 0.0000  2 Pt 2.57
5 Pt 0.5000 0.5000 0.5000  4 Ta 2.51, 2 Cd 2.57



La2CdTePt: optimized geometry, GGA-PBE.

Properties
The raw formation energy comes out at -162.4 meV per atom. The calculation puts the theoretical density at 6951 kg/m³.

a = 5.8834 Å, b = 5.8834 Å, c = 4.9204 Å
α = 90.00°, β = 90.00°, γ = 90.00°
Last column: nearest neighbours and their distance in Å.
Fractional positions:
1 La 0.0000 0.5000 0.0000  2 Cd 2.94
2 La 0.5000 0.0000 0.0000  2 Cd 2.94
3 Cd 0.0000 0.0000 0.0000  2 Pt 2.46
4 Te 0.5000 0.5000 0.5000  8 La 3.83, 4 Pt 4.16
5 Pt 0.0000 0.0000 0.5000  2 Cd 2.46



LaTiCd2Pt: optimized geometry, GGA-PBE.

Properties
As for the formation energy: 0.26 eV/atom. The calculation puts the theoretical density at 6909 kg/m³.

a = 5.2192 Å, b = 5.2192 Å, c = 5.3527 Å
α = 90.00°, β = 90.00°, γ = 90.00°
Last column: nearest neighbours and their distance in Å.
Fractional positions:
1 La 0.0000 0.0000 0.0000  2 Pt 2.68
2 Ti 0.5000 0.5000 0.0000  4 La 3.69, 8 Cd 3.74
3 Cd 0.0000 0.5000 0.5000  2 Pt 2.61
4 Cd 0.5000 0.0000 0.5000  2 Pt 2.61
5 Pt 0.0000 0.0000 0.5000  4 Cd 2.61, 2 La 2.68



LaTlCd2Pt: optimized geometry, GGA-PBE.

Properties
For the energy above the lowest structure with this stoichiometry, the calculation gives 0.000 eV/atom. As for the formation energy: -0.36 eV/atom. The calculation puts the theoretical density at 8378 kg/m³.

a = 5.3021 Å, b = 5.3021 Å, c = 5.3807 Å
α = 90.00°, β = 90.00°, γ = 90.00°
Last column: nearest neighbours and their distance in Å.
Fractional positions:
1 La 0.0000 0.0000 0.0000  2 Pt 2.69
2 Tl 0.5000 0.5000 0.0000  4 La 3.75, 8 Cd 3.78
3 Cd 0.0000 0.5000 0.5000  2 Pt 2.65
4 Cd 0.5000 0.0000 0.5000  2 Pt 2.65
5 Pt 0.0000 0.0000 0.5000  4 Cd 2.65, 2 La 2.69



LaTlCd2Pt: optimized geometry, GGA-PBE.

Properties
For the energy above the lowest structure with this stoichiometry, the calculation gives 0.588 eV/atom. As for the formation energy: 0.23 eV/atom. The calculation puts the theoretical density at 8529 kg/m³.

a = 5.3415 Å, b = 5.3415 Å, c = 5.2078 Å
α = 90.00°, β = 90.00°, γ = 90.00°
Last column: nearest neighbours and their distance in Å.
Fractional positions:
1 La 0.0000 0.0000 0.0000  8 Cd 3.73, 4 Pt 3.78
2 Tl 0.5000 0.5000 0.5000  2 Pt 2.60, 4 Cd 2.67
3 Cd 0.0000 0.5000 0.5000  2 Tl 2.67
4 Cd 0.5000 0.0000 0.5000  2 Tl 2.67
5 Pt 0.5000 0.5000 0.0000  2 Tl 2.60



LaYCdPt: optimized geometry, GGA-PBE.

Properties
As for the formation energy: -0.66 eV/atom. The calculation puts the theoretical density at 8750 kg/m³.

a = 7.4068 Å, b = 7.4068 Å, c = 7.4068 Å
α = 90.00°, β = 90.00°, γ = 90.00°
Last column: nearest neighbours and their distance in Å.
Fractional positions:
1 La 0.0000 0.0000 0.0000  4 Cd 3.21, 4 Pt 3.21
2 La 0.0000 0.5000 0.5000  4 Cd 3.21, 4 Pt 3.21
3 La 0.5000 0.0000 0.5000  4 Cd 3.21, 4 Pt 3.21
4 La 0.5000 0.5000 0.0000  4 Cd 3.21, 4 Pt 3.21
5 Y 0.0000 0.0000 0.5000  4 Cd 3.21, 4 Pt 3.21
6 Y 0.0000 0.5000 0.0000  4 Cd 3.21, 4 Pt 3.21
7 Y 0.5000 0.0000 0.0000  4 Cd 3.21, 4 Pt 3.21
8 Y 0.5000 0.5000 0.5000  4 Cd 3.21, 4 Pt 3.21
9 Cd 0.2500 0.2500 0.2500  4 La 3.21, 4 Y 3.21
10 Cd 0.2500 0.7500 0.7500  4 La 3.21, 4 Y 3.21
11 Cd 0.7500 0.2500 0.7500  4 La 3.21, 4 Y 3.21
12 Cd 0.7500 0.7500 0.2500  4 La 3.21, 4 Y 3.21
13 Pt 0.2500 0.2500 0.7500  4 La 3.21, 4 Y 3.21
14 Pt 0.2500 0.7500 0.2500  4 La 3.21, 4 Y 3.21
15 Pt 0.7500 0.2500 0.2500  4 La 3.21, 4 Y 3.21
16 Pt 0.7500 0.7500 0.7500  4 La 3.21, 4 Y 3.21